The following is a PBE-GGA calculation of a relaxed ZrTaCo2 crystal, from the Alexandria database.

The structure belongs to space group P2_1/m (No. 11); the cell edges are 5.0579, 3.9888 and 6.4002 Å and the angles 90.00°, 107.54° and 90.00°. Symmetry generates all atoms from Zr at (0.2189, 0.2500, 0.4280), Ta at (0.2159, 0.2500, 0.9322), Co at (0.3171, 0.7500, 0.1820) and Co at (0.3295, 0.7500, 0.7317).

Its formation energy is -0.289 eV/atom.